1.
Entry from Alexandria via LeMat-Bulk: a relaxed structure of Al2CdOs (PBE).

Results
VASP energy: -4.888 eV per atom
Space group: I-4m2 (119)

a b c (Å): 5.010 5.010 5.010
angles (deg): 134.36 134.36 66.52
Positions (direct):
Al 0.000 0.000 0.000
Al 0.750 0.250 0.500
Cd 0.500 0.500 0.000
Os 0.250 0.750 0.500

2.
Entry from Alexandria via LeMat-Bulk: a relaxed structure of Al2CdOs (PBE).

Results
VASP energy: -4.754 eV per atom
Space group: P2/m (10)

a b c (Å): 4.594 3.055 4.936
angles (deg): 90.00 111.28 90.00
Positions (direct):
Al 0.000 0.000 0.000
Al 0.000 0.500 0.500
Cd 0.500 0.000 0.500
Os 0.500 0.500 0.000

3.
Entry from Alexandria via LeMat-Bulk: a relaxed structure of Al2CdOs (PBE).

Results
VASP energy: -4.929 eV per atom
Space group: Cm (8)

a b c (Å): 4.924 4.924 4.502
angles (deg): 107.92 107.92 38.12
Positions (direct):
Al 0.000 0.000 0.000
Al 0.244 0.244 0.657
Cd 0.487 0.487 0.473
Os 0.728 0.728 0.108

4.
Entry from Alexandria via LeMat-Bulk: a relaxed structure of Al2CdOs (PBE).

Results
VASP energy: -4.790 eV per atom
Space group: Cmmm (65)

a b c (Å): 2.899 2.899 9.113
angles (deg): 90.00 90.00 117.08
Positions (direct):
Al 0.000 0.000 0.217
Al 0.000 0.000 0.783
Cd 0.500 0.500 0.500
Os 0.500 0.500 0.000

5.
Entry from Alexandria via LeMat-Bulk: a relaxed structure of AlCd2Os (PBE).

Results
VASP energy: -3.863 eV per atom
Space group: F-43m (216)

a b c (Å): 4.603 4.603 4.603
angles (deg): 60.00 60.00 60.00
Positions (direct):
Al 0.000 0.000 0.000
Cd 0.500 0.500 0.500
Cd 0.750 0.750 0.750
Os 0.250 0.250 0.250

6.
Entry from Alexandria via LeMat-Bulk: a relaxed structure of Al2CdOs (PBE).

Results
VASP energy: -4.912 eV per atom
Space group: I4/mmm (139)

a b c (Å): 4.797 4.797 4.797
angles (deg): 130.12 130.12 73.22
Positions (direct):
Al 0.250 0.750 0.500
Al 0.750 0.250 0.500
Cd 0.000 0.000 0.000
Os 0.500 0.500 0.000

7.
Entry from Alexandria via LeMat-Bulk: a relaxed structure of AlCd3Os (PBE).

Results
VASP energy: -2.627 eV per atom
Space group: Pm-3m (221)

a b c (Å): 5.207 5.207 5.207
angles (deg): 90.00 90.00 90.00
Positions (direct):
Al 0.000 0.000 0.000
Cd 0.000 0.500 0.500
Cd 0.500 0.000 0.500
Cd 0.500 0.500 0.000
Os 0.500 0.500 0.500

8.
Entry from Alexandria via LeMat-Bulk: a relaxed structure of AlCdOsPb2 (PBE).

Results
VASP energy: -4.007 eV per atom
Space group: P4/mmm (123)

a b c (Å): 5.246 5.246 5.325
angles (deg): 90.00 90.00 90.00
Positions (direct):
Al 0.000 0.000 0.000
Cd 0.500 0.500 0.000
Os 0.500 0.500 0.500
Pb 0.000 0.500 0.500
Pb 0.500 0.000 0.500

9.
Entry from Alexandria via LeMat-Bulk: a relaxed structure of Al2CdOsPb (PBE).

Results
VASP energy: -4.406 eV per atom
Space group: P4/mmm (123)

a b c (Å): 4.768 4.768 5.302
angles (deg): 90.00 90.00 90.00
Positions (direct):
Al 0.000 0.500 0.000
Al 0.500 0.000 0.000
Cd 0.000 0.000 0.500
Os 0.000 0.000 0.000
Pb 0.500 0.500 0.500

10.
Entry from Alexandria via LeMat-Bulk: a relaxed structure of AlCdTeOs2 (PBE).

Results
VASP energy: -4.206 eV per atom
Space group: P4/mmm (123)

a b c (Å): 4.870 4.870 5.120
angles (deg): 90.00 90.00 90.00
Positions (direct):
Al 0.000 0.000 0.000
Cd 0.500 0.500 0.000
Te 0.000 0.000 0.500
Os 0.000 0.500 0.500
Os 0.500 0.000 0.500

11.
Entry from Alexandria via LeMat-Bulk: a relaxed structure of AlCdP2 (PBE).

Results
VASP energy: -3.824 eV per atom
Space group: P2/m (10)

a b c (Å): 4.001 3.667 5.498
angles (deg): 90.00 104.05 90.00
Positions (direct):
Al 0.000 0.000 0.000
Cd 0.500 0.000 0.500
P 0.295 0.500 0.822
P 0.705 0.500 0.178

12.
Entry from Alexandria via LeMat-Bulk: a relaxed structure of AlCdP2 (PBE).

Results
VASP energy: -3.524 eV per atom
Space group: Pmmm (47)

a b c (Å): 3.622 3.739 5.530
angles (deg): 90.00 90.00 90.00
Positions (direct):
Al 0.000 0.000 0.000
Cd 0.000 0.500 0.500
P 0.500 0.000 0.500
P 0.500 0.500 0.000